First-principles (PBE) data for an optimized crystal structure of CeEuInPb, as listed in Alexandria.

```
CeEuInPb
1.0
0.000 3.937 3.937
3.937 0.000 3.937
3.937 3.937 0.000
Ce Eu In Pb
1 1 1 1
Direct
0.000 0.000 0.000
0.500 0.500 0.500
0.250 0.250 0.250
0.750 0.750 0.750
```

Computed properties:
Energy relative to the elements ... -398 meV per atom
Size of the total moment ... 6.3 Bohr magnetons per cell